DFT (PBE-GGA) results for a relaxed structure of Mg2InAg4.

Output
**Density of states at the Fermi level**: 3.8 states/eV per cell
**Relative energy among the computed polymorphs**: 0 meV per atom
**Spin magnetization**: 0.00 μB/f.u.
**Formation energy from the elements**: -0.089 eV per atom

Cell: 7.150 7.166 7.225 Å, 107.61 101.60 118.92°
Element x y z (fractional)
Mg  0.000  0.000  0.000
Mg  0.064  0.630  0.591
Mg  0.381  0.458  0.979
Mg  0.566  0.713  0.523
In  0.689  0.464  0.762
In  0.712  0.023  0.272
Ag  0.067  0.433  0.200
Ag  0.203  0.754  0.017
Ag  0.205  0.267  0.504
Ag  0.366  0.958  0.468
Ag  0.508  0.293  0.274
Ag  0.554  0.065  0.898
Ag  0.862  0.705  0.245
Ag  0.910  0.217  0.735


DFT (PBE-GGA) results for a relaxed structure of Mg2InAg4.

Output
**Density of states at the Fermi level**: 2.7 states/eV per cell
**Relative energy among the computed polymorphs**: 458 meV per atom
**Spin magnetization**: 0.00 μB/f.u.
**Formation energy from the elements**: 0.368 eV per atom

Cell: 7.895 7.895 7.895 Å, 141.99 141.99 54.84°
Element x y z (fractional)
Mg  0.111  0.111  0.000
Mg  0.889  0.889  0.000
In  0.500  0.500  0.000
Ag  0.000  0.500  0.500
Ag  0.302  0.302  0.000
Ag  0.500  0.000  0.500
Ag  0.698  0.698  0.000


DFT (PBE-GGA) results for a relaxed structure of MgInAg3.

Output
**Density of states at the Fermi level**: 3.6 states/eV per cell
**Relative energy among the computed polymorphs**: 23 meV per atom
**Spin magnetization**: 0.00 μB/f.u.
**Formation energy from the elements**: -0.061 eV per atom

Cell: 7.588 7.588 6.893 Å, 90.00 90.00 85.46°
Element x y z (fractional)
Mg  0.136  0.864  0.923
Mg  0.364  0.636  0.423
Mg  0.636  0.364  0.577
Mg  0.864  0.136  0.077
In  0.195  0.305  0.750
In  0.305  0.195  0.250
In  0.695  0.805  0.750
In  0.805  0.695  0.250
Ag  0.039  0.655  0.616
Ag  0.082  0.918  0.325
Ag  0.155  0.539  0.116
Ag  0.345  0.961  0.616
Ag  0.418  0.582  0.825
Ag  0.461  0.845  0.116
Ag  0.539  0.155  0.884
Ag  0.582  0.418  0.175
Ag  0.655  0.039  0.384
Ag  0.845  0.461  0.884
Ag  0.918  0.082  0.675
Ag  0.961  0.345  0.384


DFT (PBE-GGA) results for a relaxed structure of Mg6InAg8.

Output
**Density of states at the Fermi level**: 4.6 states/eV per cell
**Spin magnetization**: 0.00 μB/f.u.
**Formation energy from the elements**: -0.068 eV per atom

Cell: 7.172 7.172 7.172 Å, 67.62 67.62 67.62°
Element x y z (fractional)
Mg  0.138  0.634  0.405
Mg  0.366  0.595  0.862
Mg  0.405  0.138  0.634
Mg  0.595  0.862  0.366
Mg  0.634  0.405  0.138
Mg  0.862  0.366  0.595
In  0.000  0.000  0.000
Ag  0.098  0.401  0.842
Ag  0.158  0.902  0.599
Ag  0.253  0.253  0.253
Ag  0.401  0.842  0.098
Ag  0.599  0.158  0.902
Ag  0.747  0.747  0.747
Ag  0.842  0.098  0.401
Ag  0.902  0.599  0.158


DFT (PBE-GGA) results for a relaxed structure of Mg2InAg5.

Output
**Density of states at the Fermi level**: 3.7 states/eV per cell
**Relative energy among the computed polymorphs**: 0 meV per atom
**Spin magnetization**: 0.00 μB/f.u.
**Formation energy from the elements**: -0.142 eV per atom

Cell: 5.937 11.590 4.357 Å, 90.00 90.00 90.00°
Element x y z (fractional)
Mg  0.209  0.132  0.000
Mg  0.291  0.632  0.000
Mg  0.709  0.368  0.000
Mg  0.791  0.868  0.000
In  0.000  0.500  0.500
In  0.500  0.000  0.500
Ag  0.000  0.000  0.500
Ag  0.043  0.750  0.500
Ag  0.223  0.378  0.000
Ag  0.277  0.878  0.000
Ag  0.457  0.250  0.500
Ag  0.500  0.500  0.500
Ag  0.543  0.750  0.500
Ag  0.723  0.122  0.000
Ag  0.777  0.622  0.000
Ag  0.957  0.250  0.500


DFT (PBE-GGA) results for a relaxed structure of Mg12In5Ag2.

Output
**Density of states at the Fermi level**: 7.3 states/eV per cell
**Spin magnetization**: 0.00 μB/f.u.
**Formation energy from the elements**: -0.062 eV per atom

Cell: 7.818 7.818 7.498 Å, 91.45 91.45 71.40°
Element x y z (fractional)
Mg  0.051  0.051  0.219
Mg  0.116  0.668  0.136
Mg  0.153  0.540  0.731
Mg  0.332  0.884  0.864
Mg  0.398  0.398  0.393
Mg  0.460  0.847  0.269
Mg  0.540  0.153  0.731
Mg  0.602  0.602  0.607
Mg  0.668  0.116  0.136
Mg  0.847  0.460  0.269
Mg  0.884  0.332  0.864
Mg  0.949  0.949  0.781
In  0.176  0.176  0.570
In  0.256  0.256  0.055
In  0.500  0.500  0.000
In  0.744  0.744  0.945
In  0.824  0.824  0.430
Ag  0.217  0.783  0.500
Ag  0.783  0.217  0.500


- Which of these has the highest density of states at the Fermi level?
  Mg12In5Ag2


- Look up the density of states at the Fermi level of the first one.
  3.8 states/eV per cell


- What is the formula in the fourth record?
  Mg6InAg8